Entry 1:
! CdAs2Br (GGA-PBE, relaxed); values from VASP
&SYSTEM
  ibrav = 0, nat = 4, ntyp = 3
/
ATOMIC_SPECIES
Cd 112.41 Cd.upf
Br 79.90 Br.upf
As 74.92 As.upf
CELL_PARAMETERS angstrom
5.241 0.000 0.000
0.000 5.241 0.000
0.000 0.000 3.222
ATOMIC_POSITIONS crystal
Cd 0.000 0.500 0.500
Br 0.500 0.000 0.500
As 0.500 0.500 0.000
As 0.000 0.000 0.000
! raw total energy	-10.16	eV/f.u.
! energy relative to the lowest polymorph listed for this composition	605	meV per atom
! density	6.42	g/cm3
! space group	P4/mmm (123)
! magnetization	0.0	μB per cell
! formation energy from raw total energies	431	meV per atom

=====

Entry 2:
! Cd4As2Br5 (GGA-PBE, relaxed); values from VASP
&SYSTEM
  ibrav = 0, nat = 11, ntyp = 3
/
ATOMIC_SPECIES
Cd 112.41 Cd.upf
Br 79.90 Br.upf
As 74.92 As.upf
CELL_PARAMETERS angstrom
-1.425 3.062 1.065
-3.510 -4.034 6.899
11.085 2.552 1.610
ATOMIC_POSITIONS crystal
Cd 0.422 0.422 0.844
Cd 0.000 0.735 0.000
Cd 0.000 0.265 0.000
Cd 0.578 0.578 0.156
Br 0.166 0.379 0.332
Br 0.500 0.000 0.000
Br 0.166 0.953 0.332
Br 0.834 0.621 0.668
Br 0.834 0.047 0.668
As 0.239 0.239 0.478
As 0.761 0.761 0.522
! raw total energy	-22.58	eV/f.u.
! density	5.12	g/cm3
! space group	Immm (71)
! magnetization	0.0	μB per cell
! formation energy from raw total energies	-114	meV per atom

=====

Entry 3:
! CdAs2Br8 (GGA-PBE, relaxed); values from VASP
&SYSTEM
  ibrav = 0, nat = 11, ntyp = 3
/
ATOMIC_SPECIES
Br 79.90 Br.upf
As 74.92 As.upf
Cd 112.41 Cd.upf
CELL_PARAMETERS angstrom
3.312 0.575 -2.321
1.264 9.968 -2.065
-4.148 -1.653 15.650
ATOMIC_POSITIONS crystal
Br 0.530 0.553 0.205
Br 0.974 0.194 0.043
Br 0.333 0.281 0.510
Br 0.416 0.948 0.280
Br 0.470 0.447 0.795
Br 0.584 0.052 0.720
Br 0.026 0.806 0.957
Br 0.667 0.719 0.490
As 0.939 0.741 0.267
As 0.061 0.259 0.733
Cd 0.500 0.000 0.000
! raw total energy	-29.46	eV/f.u.
! energy relative to the lowest polymorph listed for this composition	0	meV per atom
! density	3.67	g/cm3
! space group	P-1 (2)
! magnetization	0.0	μB per cell
! formation energy from raw total energies	-533	meV per atom

=====

Entry 4:
! CdAs2Br8 (GGA-PBE, relaxed); values from VASP
&SYSTEM
  ibrav = 0, nat = 11, ntyp = 3
/
ATOMIC_SPECIES
Br 79.90 Br.upf
As 74.92 As.upf
Cd 112.41 Cd.upf
CELL_PARAMETERS angstrom
0.250 -8.288 0.496
7.751 -1.365 0.744
-1.814 -1.244 7.593
ATOMIC_POSITIONS crystal
Br 0.225 0.296 0.980
Br 0.775 0.020 0.704
Br 0.768 0.218 0.218
Br 0.723 0.578 0.578
Br 0.277 0.422 0.422
Br 0.775 0.704 0.020
Br 0.225 0.980 0.296
Br 0.232 0.782 0.782
As 0.619 0.812 0.812
As 0.381 0.188 0.188
Cd 0.000 0.000 0.000
! raw total energy	-28.93	eV/f.u.
! energy relative to the lowest polymorph listed for this composition	49	meV per atom
! density	3.05	g/cm3
! space group	C2/m (12)
! magnetization	0.0	μB per cell
! formation energy from raw total energies	-484	meV per atom

=====

Entry 5:
! Cd2AsBr (GGA-PBE, relaxed); values from VASP
&SYSTEM
  ibrav = 0, nat = 4, ntyp = 3
/
ATOMIC_SPECIES
Cd 112.41 Cd.upf
Br 79.90 Br.upf
As 74.92 As.upf
CELL_PARAMETERS angstrom
-3.358 -2.488 -0.149
0.316 -3.845 -1.614
0.621 -4.708 5.921
ATOMIC_POSITIONS crystal
Cd 0.070 0.070 0.789
Cd 0.276 0.276 0.171
Br 0.487 0.487 0.540
As 0.667 0.667 0.000
! raw total energy	-9.10	eV/f.u.
! energy relative to the lowest polymorph listed for this composition	151	meV per atom
! density	5.78	g/cm3
! space group	R3m (160)
! magnetization	0.0	μB per cell
! formation energy from raw total energies	-236	meV per atom

=====

Entry 6:
! Cd2AsBr (GGA-PBE, relaxed); values from VASP
&SYSTEM
  ibrav = 0, nat = 8, ntyp = 3
/
ATOMIC_SPECIES
Cd 112.41 Cd.upf
Br 79.90 Br.upf
As 74.92 As.upf
CELL_PARAMETERS angstrom
-2.290 3.933 -0.473
-4.715 -2.396 2.919
3.615 3.115 8.397
ATOMIC_POSITIONS crystal
Cd 0.201 0.162 0.046
Cd 0.700 0.662 0.170
Cd 0.201 0.076 0.454
Cd 0.702 0.576 0.762
Br 0.701 0.351 0.505
Br 0.201 0.851 0.711
As 0.701 0.345 0.983
As 0.201 0.845 0.233
! raw total energy	-9.52	eV/f.u.
! energy relative to the lowest polymorph listed for this composition	45	meV per atom
! density	4.72	g/cm3
! space group	Pc (7)
! magnetization	0.0	μB per cell
! formation energy from raw total energies	-342	meV per atom

=====

Entry 7:
! CdAsBr (GGA-PBE, relaxed); values from VASP
&SYSTEM
  ibrav = 0, nat = 3, ntyp = 3
/
ATOMIC_SPECIES
As 74.92 As.upf
Cd 112.41 Cd.upf
Br 79.90 Br.upf
CELL_PARAMETERS angstrom
4.552 0.000 0.000
-2.276 3.942 0.000
0.000 0.000 4.747
ATOMIC_POSITIONS crystal
As 0.000 0.000 0.840
Cd 0.333 0.667 0.824
Br 0.667 0.333 0.336
! raw total energy	-6.76	eV/f.u.
! energy relative to the lowest polymorph listed for this composition	599	meV per atom
! density	5.21	g/cm3
! space group	P3m1 (156)
! magnetization	0.0	μB per cell
! formation energy from raw total energies	160	meV per atom

=====

Entry 8:
! Cd2AsBr (GGA-PBE, relaxed); values from VASP
&SYSTEM
  ibrav = 0, nat = 4, ntyp = 3
/
ATOMIC_SPECIES
Cd 112.41 Cd.upf
Br 79.90 Br.upf
As 74.92 As.upf
CELL_PARAMETERS angstrom
-3.397 -0.218 -0.085
1.127 -3.093 0.872
-0.384 2.426 9.106
ATOMIC_POSITIONS crystal
Cd 0.000 0.000 0.003
Cd 0.500 0.500 0.246
Br 0.500 0.500 0.808
As 0.000 0.000 0.443
! raw total energy	-7.79	eV/f.u.
! energy relative to the lowest polymorph listed for this composition	478	meV per atom
! density	6.00	g/cm3
! space group	Cmm2 (35)
! magnetization	0.0	μB per cell
! formation energy from raw total energies	92	meV per atom

=====

Question: What is the magnetization in the eighth record?
Answer: 0.0 μB per cell

=====

Question: What is the density in the seventh record?
Answer: 5.21 g/cm3